# 1
GGA-PBE AgN2F, relaxed; ΔE to the lowest computed polymorph = 0 meV per atom; raw total energy = -23.05 eV for the cell shown; formation energy without anion corrections = -0.419 eV per atom
1.0
-1.3876 -2.4909 -1.8579
-1.6232 -1.6835 2.6242
-5.4861 3.2536 0.1944
Ag N F
1 2 1
Direct
0.7890 0.2256 0.1830
0.8770 0.1599 0.6235
0.7426 0.3144 0.7475
0.2904 0.7260 0.1847

***

# 2
GGA-PBE HoPd4Au, relaxed; ΔE to the lowest computed polymorph = 67 meV per atom; raw total energy = -63.33 eV for the cell shown; E_form = -506.8 meV/atom
1.0
-2.8802 -4.1727 2.2064
6.7041 -1.1067 1.9838
-0.8710 3.0604 4.6508
Ho Pd Au
2 8 2
Direct
0.7312 0.4814 0.7500
0.2688 0.5186 0.2500
0.2344 0.5072 0.7500
0.7656 0.4928 0.2500
0.3383 0.1516 0.7500
0.6617 0.8484 0.2500
0.0874 0.8138 0.9964
0.9126 0.1862 0.4964
0.0874 0.8138 0.5036
0.9126 0.1862 0.0036
0.5965 0.8617 0.7500
0.4035 0.1383 0.2500

***

# 3
GGA-PBE Cs6Tl3Hg, relaxed; raw total energy = -13.17 eV for the cell shown; E_form = -64.4 meV/atom
1.0
-2.0327 1.6026 -8.1074
-5.3110 -6.6238 -0.5898
-6.8788 4.5864 2.0191
Cs Tl Hg
6 3 1
Direct
0.5739 0.9290 0.2477
0.9290 0.2477 0.5739
0.2477 0.5739 0.9290
0.4295 0.0629 0.7477
0.0629 0.7477 0.4295
0.7477 0.4295 0.0629
0.3524 0.3524 0.3524
0.5415 0.5415 0.5415
0.1548 0.1548 0.1548
0.9605 0.9605 0.9605

***

# 4
GGA-PBE PaReSnRu, relaxed; raw total energy = -35.66 eV for the cell shown; E_form = -109.1 meV/atom
1.0
4.7593 0.0000 0.0000
2.3797 4.1217 0.0000
2.3797 1.3739 3.8860
Re Pa Sn Ru
1 1 1 1
Direct
0.2500 0.2500 0.2500
0.0000 0.0000 0.0000
0.5000 0.5000 0.5000
0.7500 0.7500 0.7500

***

# 5
GGA-PBE ZrPtC3, relaxed; ΔE to the lowest computed polymorph = 661 meV per atom; raw total energy = -29.73 eV for the cell shown; E_form = 2505.4 meV/atom
1.0
-0.7335 2.0276 -3.6861
-4.0743 0.5899 1.1352
1.0482 3.7118 1.8331
C Zr Pt
3 1 1
Direct
0.0000 0.5000 0.0000
0.0000 0.0000 0.5000
0.5000 0.0000 0.0000
0.0000 0.0000 0.0000
0.5000 0.5000 0.5000

***

# 6
GGA-PBE Mg7Tl3Pb, relaxed; raw total energy = -21.57 eV for the cell shown; E_form = 36.7 meV/atom
1.0
-1.1728 -1.3957 -5.4103
7.5322 -0.3276 1.4297
-1.4692 -5.8083 4.7948
Mg Tl Pb
7 3 1
Direct
0.1665 0.1756 0.1756
0.3261 0.0522 0.6006
0.6739 0.3994 0.9478
0.3261 0.6006 0.0522
0.0000 0.5000 0.5000
0.6739 0.9478 0.3994
0.8335 0.8244 0.8244
0.0000 0.7673 0.2327
0.5000 0.0000 0.0000
0.0000 0.2327 0.7673
0.5000 0.5000 0.5000

***

# 7
GGA-PBE PmNd5In4, relaxed; ΔE to the lowest computed polymorph = 245 meV per atom; raw total energy = -81.84 eV for the cell shown; E_form = -137.4 meV/atom
1.0
8.8329 0.0000 0.0000
0.0000 8.3135 0.0000
0.0000 0.0000 9.3163
Pm Nd In
2 10 8
Direct
0.6595 0.0000 0.0000
0.3405 0.5000 0.5000
0.2693 0.7482 0.8038
0.2693 0.2518 0.8038
0.9200 0.5000 0.0000
0.2693 0.7482 0.1962
0.2693 0.2518 0.1962
0.7307 0.7518 0.3038
0.7307 0.2482 0.3038
0.0800 0.0000 0.5000
0.7307 0.2482 0.6962
0.7307 0.7518 0.6962
0.9894 0.0000 0.8421
0.5607 0.6628 0.0000
0.5607 0.3372 0.0000
0.9894 0.0000 0.1579
0.0106 0.5000 0.3421
0.4393 0.8372 0.5000
0.4393 0.1628 0.5000
0.0106 0.5000 0.6579

***

# 8
GGA-PBE LaAlCu3, relaxed; ΔE to the lowest computed polymorph = 13 meV per atom; raw total energy = -44.06 eV for the cell shown; E_form = -214.7 meV/atom
1.0
-2.7217 2.6716 3.4423
-2.9751 -3.8423 4.4636
3.4248 1.3841 5.4674
La Al Cu
2 2 6
Direct
0.7500 0.3004 0.1996
0.2500 0.6996 0.8004
0.0000 0.5000 0.5000
0.5000 0.0000 0.0000
0.7738 0.2262 0.7262
0.2738 0.2262 0.7262
0.7262 0.7738 0.2738
0.2262 0.7738 0.2738
0.7500 0.9099 0.5901
0.2500 0.0901 0.4099

***

It is found that the volume values, taken in the order of the records, are 74.3 212.8 612.3 76.2 77.9 284.7 684.1 189.4 Å³/cell.